[1]
Material: MgZnPb
Method: DFT, PBE-GGA
State: relaxed

Lattice parameters (Å, degrees): 10.0183 10.0183 4.3499 90.00 90.00 161.40
Closest atoms and distances in Å follow each position.
Sites, in units of the cell vectors:
Mg  0.0900  0.9100  0.7500  6 Zn 2.92-2.95, 2 Mg 3.24
Mg  0.9100  0.0900  0.2500  6 Zn 2.92-2.95, 2 Mg 3.24
Zn  0.4652  0.5349  0.7500  2 Zn 2.57
Zn  0.5349  0.4652  0.2500  2 Zn 2.57
Pb  0.3127  0.6873  0.7500  1 Zn 3.01, 2 Pb 3.24, 4 Mg 3.32
Pb  0.6873  0.3127  0.2500  1 Zn 3.01, 2 Pb 3.24, 4 Mg 3.32

## Properties
energy: -2.217 eV/atom
formation energy: -2.4 kJ/mol of atoms
symmetry: No. 63
ρ: 7.08 Mg/m³


[2]
Material: MgZnPb
Method: DFT, PBE-GGA
State: relaxed

Lattice parameters (Å, degrees): 6.3665 6.3665 4.3915 109.87 109.87 57.88
Closest atoms and distances in Å follow each position.
Sites, in units of the cell vectors:
Mg  0.2477  0.7523  0.0000  4 Zn 2.95-2.96, 2 Mg 3.05-3.11, 2 Pb 3.30
Mg  0.7523  0.2477  0.0000  4 Zn 2.95-2.96, 2 Mg 3.05-3.11, 2 Pb 3.30
Zn  0.1230  0.1230  0.6233  1 Zn 2.53
Zn  0.8770  0.8770  0.3767  1 Zn 2.53
Pb  0.3120  0.3120  0.3113  4 Zn 2.92-3.15
Pb  0.6880  0.6880  0.6887  4 Zn 2.92-3.15

## Properties
energy: -2.151 eV/atom
formation energy: 4.0 kJ/mol of atoms
symmetry: No. 12
ρ: 7.10 Mg/m³


[3]
Material: Mg5ZnPb2
Method: DFT, PBE-GGA
State: relaxed

Lattice parameters (Å, degrees): 6.6657 6.6657 4.8382 90.00 90.00 90.00
Closest atoms and distances in Å follow each position.
Sites, in units of the cell vectors:
Mg  0.0000  0.0000  0.0000  2 Zn 2.42
Mg  0.2755  0.2755  0.5000  1 Zn 2.60
Mg  0.2755  0.7245  0.5000  1 Zn 2.60
Mg  0.7245  0.2755  0.5000  1 Zn 2.60
Mg  0.7245  0.7245  0.5000  1 Zn 2.60
Zn  0.0000  0.0000  0.5000  6 Mg 2.42-2.60
Pb  0.0000  0.5000  0.0000  10 Mg 3.33-3.39
Pb  0.5000  0.0000  0.0000  10 Mg 3.33-3.39

## Properties
energy: -1.930 eV/atom
formation energy: 14.8 kJ/mol of atoms
symmetry: No. 123
ρ: 4.65 Mg/m³


[4]
Material: MgZnPb
Method: DFT, PBE-GGA
State: relaxed

Lattice parameters (Å, degrees): 4.8639 4.8639 3.4490 90.00 90.00 120.00
Closest atoms and distances in Å follow each position.
Sites, in units of the cell vectors:
Mg  0.0000  0.0000  0.0000  3 Zn 2.90, 3 Pb 3.24
Zn  0.3333  0.6667  0.7933  3 Mg 2.90, 3 Pb 3.03
Pb  0.6667  0.3333  0.4670  3 Zn 3.03, 6 Mg 3.24-3.36

## Properties
energy: -2.112 eV/atom
formation energy: 7.8 kJ/mol of atoms
symmetry: No. 156
ρ: 6.98 Mg/m³


[5]
Material: MgZnPb
Method: DFT, PBE-GGA
State: relaxed

Lattice parameters (Å, degrees): 5.0933 5.8577 5.8978 60.32 79.20 67.93
Closest atoms and distances in Å follow each position.
Sites, in units of the cell vectors:
Mg  0.0000  0.0000  0.0000  4 Zn 3.04-3.14, 4 Pb 3.04-3.17, 1 Mg 3.10
Mg  0.0009  0.6949  0.6058  4 Zn 2.91-2.93, 3 Pb 3.10-3.22, 1 Mg 3.10
Zn  0.5005  0.5576  0.8832  1 Zn 2.87, 4 Mg 2.91-3.14, 4 Pb 3.11-3.12
Zn  0.4996  0.8380  0.3235  1 Zn 2.87, 4 Mg 2.93-3.04, 2 Pb 3.11
Pb  0.0003  0.3832  0.2336  4 Zn 3.11-3.12, 3 Mg 3.16-3.22, 2 Pb 3.40-3.41
Pb  0.5013  0.1607  0.6749  4 Mg 3.04-3.10, 3 Zn 3.11-3.32, 2 Pb 3.40-3.41

## Properties
energy: -2.111 eV/atom
formation energy: 7.8 kJ/mol of atoms
symmetry: No. 1
ρ: 6.96 Mg/m³


[6]
Material: Mg16Zn12Pb
Method: DFT, PBE-GGA
State: relaxed

Lattice parameters (Å, degrees): 8.7130 8.7130 9.0455 108.42 108.42 106.51
Closest atoms and distances in Å follow each position.
Sites, in units of the cell vectors:
Mg  0.0000  0.0000  0.0000  11 Zn 2.90-3.16, 4 Mg 2.96-3.22
Mg  0.0015  0.6747  0.4123  4 Zn 2.81-2.97, 5 Mg 3.04-3.14
Mg  0.0067  0.4036  0.6649  5 Zn 2.93-3.16, 1 Pb 2.96, 4 Mg 3.02-3.21
Mg  0.0182  0.0182  0.6745  6 Zn 2.95-3.07, 1 Pb 3.03, 3 Mg 3.05-3.11
Mg  0.3069  0.3069  0.3173  6 Zn 2.93-3.03, 4 Mg 2.96-3.14, 1 Pb 3.18
Mg  0.3077  0.7026  0.3132  5 Zn 2.90-3.15, 7 Mg 2.94-3.13
Mg  0.3375  0.6321  0.6226  3 Zn 2.79-2.86, 1 Pb 2.95, 2 Mg 3.00-3.02
Mg  0.4036  0.0067  0.6649  5 Zn 2.93-3.16, 1 Pb 2.96, 4 Mg 3.02-3.21
Mg  0.4062  0.6656  0.0051  5 Zn 2.82-3.07, 3 Mg 3.06-3.14
Mg  0.6075  0.6075  0.3230  3 Zn 2.87-2.89, 7 Mg 2.94-3.14
Mg  0.6271  0.9989  0.9916  8 Zn 2.91-3.18, 4 Mg 3.00-3.22
Mg  0.6321  0.3375  0.6226  3 Zn 2.79-2.86, 1 Pb 2.95, 2 Mg 3.00-3.02
Mg  0.6656  0.4062  0.0051  5 Zn 2.82-3.07, 3 Mg 3.06-3.14
Mg  0.6747  0.0015  0.4123  4 Zn 2.81-2.97, 5 Mg 3.04-3.14
Mg  0.7026  0.3077  0.3132  5 Zn 2.90-3.15, 7 Mg 2.94-3.13
Mg  0.9989  0.6271  0.9916  8 Zn 2.91-3.18, 4 Mg 3.00-3.22
Zn  0.1492  0.9551  0.3276  3 Zn 2.59-2.71, 1 Mg 2.87
Zn  0.1773  0.3657  0.0084  3 Zn 2.63-2.69, 3 Mg 2.82-2.93
Zn  0.2028  0.8201  0.8198  3 Zn 2.61-2.75, 1 Mg 2.80
Zn  0.3580  0.9790  0.1781  3 Zn 2.59-2.75, 1 Mg 2.81
Zn  0.3657  0.1773  0.0084  3 Zn 2.63-2.69, 3 Mg 2.82-2.93
Zn  0.6617  0.8539  0.6565  3 Zn 2.61-2.70, 3 Mg 2.79-2.90
Zn  0.6769  0.6769  0.8538  3 Zn 2.54-2.70
Zn  0.7977  0.7977  0.1821  3 Zn 2.54-2.63
Zn  0.8201  0.2028  0.8198  3 Zn 2.61-2.75, 1 Mg 2.80
Zn  0.8539  0.6617  0.6565  3 Zn 2.61-2.70, 3 Mg 2.79-2.90
Zn  0.9551  0.1492  0.3276  3 Zn 2.59-2.71, 1 Mg 2.87
Zn  0.9790  0.3580  0.1781  3 Zn 2.59-2.75, 1 Mg 2.81
Pb  0.3058  0.3058  0.6682  8 Mg 2.95-3.26, 2 Zn 3.12

## Properties
energy: -1.593 eV/atom
formation energy: -5.6 kJ/mol of atoms
symmetry: No. 8
ρ: 4.10 Mg/m³


[7]
Material: Mg2ZnPb2
Method: DFT, PBE-GGA
State: relaxed

Lattice parameters (Å, degrees): 9.0977 9.0977 3.2000 90.00 90.00 90.00
Closest atoms and distances in Å follow each position.
Sites, in units of the cell vectors:
Mg  0.1315  0.3685  0.0000  6 Pb 3.05-3.17, 3 Mg 3.20-3.38
Mg  0.3685  0.8685  0.0000  6 Pb 3.05-3.17, 3 Mg 3.20-3.38
Mg  0.6315  0.1315  0.0000  6 Pb 3.05-3.17, 3 Mg 3.20-3.38
Mg  0.8685  0.6315  0.0000  6 Pb 3.05-3.17, 3 Mg 3.20-3.38
Zn  0.0000  0.0000  0.5000  2 Zn 3.20, 4 Pb 3.39
Zn  0.5000  0.5000  0.5000  2 Zn 3.20, 4 Pb 3.39
Pb  0.1670  0.6670  0.5000  6 Mg 3.05-3.17, 2 Pb 3.20, 2 Zn 3.39
Pb  0.3330  0.1670  0.5000  6 Mg 3.05-3.17, 2 Pb 3.20, 2 Zn 3.39
Pb  0.6670  0.8330  0.5000  6 Mg 3.05-3.17, 2 Pb 3.20, 2 Zn 3.39
Pb  0.8330  0.3330  0.5000  6 Mg 3.05-3.17, 2 Pb 3.20, 2 Zn 3.39

## Properties
ΔE to the lowest computed polymorph: 52.0 meV/atom
energy: -2.254 eV/atom
formation energy: 11.8 kJ/mol of atoms
symmetry: No. 127
ρ: 6.63 Mg/m³


[8]
Material: Mg4ZnPb
Method: DFT, PBE-GGA
State: relaxed

Lattice parameters (Å, degrees): 8.3919 8.3919 5.1879 107.68 107.68 53.51
Closest atoms and distances in Å follow each position.
Sites, in units of the cell vectors:
Mg  0.1091  0.6355  0.3728  2 Zn 2.95-2.96, 3 Mg 3.17-3.28, 3 Pb 3.23-3.29
Mg  0.1914  0.8086  0.0000  2 Zn 2.69, 1 Mg 2.89
Mg  0.3229  0.3229  0.8251  2 Zn 2.83-2.84
Mg  0.3645  0.8909  0.6272  2 Zn 2.95-2.96, 3 Mg 3.17-3.28, 3 Pb 3.23-3.29
Mg  0.6355  0.1091  0.3728  2 Zn 2.95-2.96, 3 Mg 3.17-3.28, 3 Pb 3.23-3.29
Mg  0.6771  0.6771  0.1749  2 Zn 2.83-2.84
Mg  0.8086  0.1914  0.0000  2 Zn 2.69, 1 Mg 2.89
Mg  0.8909  0.3645  0.6272  2 Zn 2.95-2.96, 3 Mg 3.17-3.28, 3 Pb 3.23-3.29
Zn  0.5000  0.5000  0.2596  2 Zn 2.49-2.69, 2 Mg 2.69
Zn  0.5000  0.5000  0.7404  2 Zn 2.49-2.69, 2 Mg 2.69
Pb  0.1920  0.1920  0.1941  10 Mg 3.07-3.29
Pb  0.8080  0.8080  0.8059  10 Mg 3.07-3.29

## Properties
ΔE to the lowest computed polymorph: 13.7 meV/atom
energy: -1.923 eV/atom
formation energy: -2.9 kJ/mol of atoms
symmetry: No. 12
ρ: 4.45 Mg/m³


[9]
Material: Mg3ZnPb
Method: DFT, PBE-GGA
State: relaxed

Lattice parameters (Å, degrees): 5.6533 5.6533 9.6913 98.25 98.25 47.83
Closest atoms and distances in Å follow each position.
Sites, in units of the cell vectors:
Mg  0.0360  0.0360  0.3346  1 Zn 2.86, 1 Pb 3.15
Mg  0.2710  0.2710  0.7957  2 Zn 2.81
Mg  0.4139  0.4139  0.1128  5 Zn 2.86-3.20, 4 Mg 3.03-3.20, 1 Pb 3.15
Mg  0.5861  0.5861  0.8872  5 Zn 2.86-3.20, 4 Mg 3.03-3.20, 1 Pb 3.15
Mg  0.7290  0.7290  0.2043  2 Zn 2.81
Mg  0.9640  0.9640  0.6654  1 Zn 2.86, 1 Pb 3.15
Zn  0.1184  0.1184  0.0661  1 Zn 2.58, 5 Mg 2.81-2.86
Zn  0.8816  0.8816  0.9339  1 Zn 2.58, 5 Mg 2.81-2.86
Pb  0.3429  0.3429  0.4172  8 Mg 3.15-3.41, 1 Pb 3.39
Pb  0.6571  0.6571  0.5828  8 Mg 3.15-3.41, 1 Pb 3.39

## Properties
ΔE to the lowest computed polymorph: 0.0 meV/atom
energy: -1.995 eV/atom
formation energy: -4.0 kJ/mol of atoms
symmetry: No. 12
ρ: 5.06 Mg/m³


[10]
Material: MgZnPb4
Method: DFT, PBE-GGA
State: relaxed

Lattice parameters (Å, degrees): 6.4567 6.4567 6.4567 60.00 60.00 60.00
Closest atoms and distances in Å follow each position.
Sites, in units of the cell vectors:
Mg  0.0000  0.0000  0.0000  12 Pb 3.79, 4 Zn 3.95
Zn  0.2500  0.2500  0.2500  12 Pb 3.79, 4 Mg 3.95
Pb  0.1247  0.6251  0.6251  6 Pb 3.23
Pb  0.6251  0.1247  0.6251  6 Pb 3.23
Pb  0.6251  0.6251  0.1247  6 Pb 3.23
Pb  0.6251  0.6251  0.6251  6 Pb 3.23

## Properties
energy: -2.661 eV/atom
formation energy: 27.9 kJ/mol of atoms
symmetry: No. 216
ρ: 8.01 Mg/m³